# PBE VCr2Pt5, relaxed
data_VCr2Pt5
_chemical_formula_sum 'V2 Cr4 Pt10'
_space_group_name_H-M_alt 'P 1'
_space_group_IT_number 1
_cell_length_a 3.8716
_cell_length_b 5.4882
_cell_length_c 11.0798
_cell_angle_alpha 90.00
_cell_angle_beta 90.00
_cell_angle_gamma 90.00
loop_
_space_group_symop_operation_xyz
'x,y,z'
loop_
_atom_site_label
_atom_site_type_symbol
_atom_site_fract_x
_atom_site_fract_y
_atom_site_fract_z
_atom_site_occupancy
Pt1 Pt 0.5000 0.2401 0.6176 1
Cr1 Cr 0.5000 0.2528 0.3741 1
Cr2 Cr 0.5000 0.7528 0.1259 1
Pt2 Pt 0.0000 0.0000 0.0000 1
Pt3 Pt 0.0000 0.5075 0.2431 1
Pt4 Pt 0.5000 0.2599 0.1176 1
Pt5 Pt 0.0000 0.0075 0.2569 1
Pt6 Pt 0.0000 0.9925 0.7431 1
Cr3 Cr 0.5000 0.2472 0.8741 1
Cr4 Cr 0.5000 0.7472 0.6259 1
Pt7 Pt 0.0000 0.5000 0.5000 1
V1 V 0.0000 0.0000 0.5000 1
Pt8 Pt 0.5000 0.7599 0.3824 1
Pt9 Pt 0.0000 0.4925 0.7569 1
Pt10 Pt 0.5000 0.7401 0.8824 1
V2 V 0.0000 0.5000 0.0000 1
# formation energy	-0.3545	eV per atom
# SG	Pbam (55)
# crystal system	orthorhombic
# magnetization	8.52	Bohr magnetons per cell